Entry 1:
! Sn2Ge2Rh, optimized geometry, DFT GGA-PBE; values from VASP
! Fermi-level density of states ... 5.40 states/eV/cell
! Uncorrected energy ... -4.95 eV per atom
! Space-group type ... P4/mbm (127)
&SYSTEM
  ibrav = 0, nat = 10, ntyp = 3
/
ATOMIC_SPECIES
Sn 118.71 Sn.upf
Ge 72.64 Ge.upf
Rh 102.91 Rh.upf
CELL_PARAMETERS angstrom
6.509 0.000 0.000
0.000 6.509 0.000
0.000 0.000 4.953
ATOMIC_POSITIONS angstrom
Sn 1.149 2.106 0.000
Sn 2.106 5.360 0.000
Sn 4.403 1.149 0.000
Sn 5.360 4.403 0.000
Ge 0.919 4.174 2.477
Ge 2.335 0.919 2.477
Ge 4.174 5.590 2.477
Ge 5.590 2.335 2.477
Rh 0.000 0.000 2.477
Rh 3.255 3.255 2.477


Entry 2:
! PrSmEuPb, optimized geometry, DFT GGA-PBE; values from VASP
! Fermi-level density of states ... 6.41 states/eV/cell
! Uncorrected energy ... -6.05 eV per atom
! Space-group type ... F-43m (216)
&SYSTEM
  ibrav = 0, nat = 4, ntyp = 4
/
ATOMIC_SPECIES
Pr 140.91 Pr.upf
Sm 150.36 Sm.upf
Eu 151.96 Eu.upf
Pb 207.20 Pb.upf
CELL_PARAMETERS angstrom
0.000 3.997 3.997
3.997 0.000 3.997
3.997 3.997 0.000
ATOMIC_POSITIONS angstrom
Pr 0.000 0.000 0.000
Sm 3.997 3.997 3.997
Eu 1.999 1.999 1.999
Pb 5.996 5.996 5.996


Entry 3:
! Nd2GaSn3Ir4, optimized geometry, DFT GGA-PBE; values from VASP
! Fermi-level density of states ... 7.06 states/eV/cell
! Uncorrected energy ... -6.57 eV per atom
! Space-group type ... P-4m2 (115)
&SYSTEM
  ibrav = 0, nat = 10, ntyp = 4
/
ATOMIC_SPECIES
Nd 144.24 Nd.upf
Ga 69.72 Ga.upf
Sn 118.71 Sn.upf
Ir 192.22 Ir.upf
CELL_PARAMETERS angstrom
4.418 0.000 0.000
0.000 4.418 0.000
0.000 0.000 10.890
ATOMIC_POSITIONS angstrom
Nd 0.000 2.209 2.681
Nd 2.209 0.000 8.210
Ga 2.209 2.209 0.000
Sn 0.000 0.000 0.000
Sn 0.000 2.209 6.902
Sn 2.209 0.000 3.988
Ir 0.000 0.000 5.445
Ir 0.000 2.209 9.494
Ir 2.209 0.000 1.397
Ir 2.209 2.209 5.445


Entry 4:
! Tl2CrW, optimized geometry, DFT GGA-PBE; values from VASP
! Fermi-level density of states ... 3.28 states/eV/cell
! Energy above the lowest structure with this stoichiometry ... 450 meV per atom
! Space-group type ... I4/mmm (139)
&SYSTEM
  ibrav = 0, nat = 4, ntyp = 3
/
ATOMIC_SPECIES
Tl 204.38 Tl.upf
Cr 52.00 Cr.upf
W 183.84 W.upf
CELL_PARAMETERS angstrom
-2.120 2.120 4.312
2.120 -2.120 4.312
2.120 2.120 -4.312
ATOMIC_POSITIONS angstrom
Tl 2.120 0.000 2.156
Tl 0.000 2.120 2.156
Cr 0.000 0.000 0.000
W 0.000 0.000 4.312


Entry 5:
! TaHg2, optimized geometry, DFT GGA-PBE; values from VASP
! Fermi-level density of states ... 2.31 states/eV/cell
! Uncorrected energy ... -3.75 eV per atom
! Space-group type ... P-3m1 (164)
&SYSTEM
  ibrav = 0, nat = 3, ntyp = 2
/
ATOMIC_SPECIES
Ta 180.95 Ta.upf
Hg 200.59 Hg.upf
CELL_PARAMETERS angstrom
3.078 0.000 0.000
-1.539 2.666 0.000
0.000 0.000 7.476
ATOMIC_POSITIONS angstrom
Ta 0.000 0.000 0.000
Hg 0.000 1.777 5.052
Hg 1.539 0.889 2.424


Entry 6:
! Ba2HfPbO6, optimized geometry, DFT GGA-PBE; values from VASP
! Fermi-level density of states ... 0.00 states/eV/cell
! Space-group type ... Fm-3m (225)
! Energy relative to the elements, uncorrected ... -2.5247 eV per atom
&SYSTEM
  ibrav = 0, nat = 10, ntyp = 4
/
ATOMIC_SPECIES
Ba 137.33 Ba.upf
Hf 178.49 Hf.upf
Pb 207.20 Pb.upf
O 16.00 O.upf
CELL_PARAMETERS angstrom
0.000 4.270 4.270
4.270 0.000 4.270
4.270 4.270 0.000
ATOMIC_POSITIONS angstrom
Ba 2.135 2.135 2.135
Ba 6.404 6.404 6.404
Hf 0.000 0.000 0.000
Pb 4.270 4.270 4.270
O 4.270 4.270 2.080
O 4.270 2.080 4.270
O 6.459 4.270 4.270
O 2.080 4.270 4.270
O 4.270 6.459 4.270
O 4.270 4.270 6.459


Entry 7:
! BaTa2Pt, optimized geometry, DFT GGA-PBE; values from VASP
! Fermi-level density of states ... 3.31 states/eV/cell
! Energy above the lowest structure with this stoichiometry ... 764 meV per atom
! Space-group type ... P4/mmm (123)
&SYSTEM
  ibrav = 0, nat = 4, ntyp = 3
/
ATOMIC_SPECIES
Ba 137.33 Ba.upf
Ta 180.95 Ta.upf
Pt 195.08 Pt.upf
CELL_PARAMETERS angstrom
5.085 0.000 0.000
0.000 5.085 0.000
0.000 0.000 3.117
ATOMIC_POSITIONS angstrom
Ba 0.000 0.000 0.000
Ta 0.000 2.543 1.559
Ta 2.543 0.000 1.559
Pt 2.543 2.543 0.000


Entry 8:
! AcTbLuAg, optimized geometry, DFT GGA-PBE; values from VASP
! Fermi-level density of states ... 5.41 states/eV/cell
! Uncorrected energy ... -3.83 eV per atom
! Space-group type ... F-43m (216)
&SYSTEM
  ibrav = 0, nat = 4, ntyp = 4
/
ATOMIC_SPECIES
Ac 227.00 Ac.upf
Tb 158.93 Tb.upf
Lu 174.97 Lu.upf
Ag 107.87 Ag.upf
CELL_PARAMETERS angstrom
0.000 3.913 3.913
3.913 0.000 3.913
3.913 3.913 0.000
ATOMIC_POSITIONS angstrom
Ac 0.000 0.000 0.000
Tb 1.957 1.957 1.957
Lu 5.870 5.870 5.870
Ag 3.913 3.913 3.913


Entry 9:
! Ti3Nb3W, optimized geometry, DFT GGA-PBE; values from VASP
! Fermi-level density of states ... 13.72 states/eV/cell
! Uncorrected energy ... -9.29 eV per atom
! Space-group type ... C2/m (12)
&SYSTEM
  ibrav = 0, nat = 14, ntyp = 3
/
ATOMIC_SPECIES
Ti 47.87 Ti.upf
Nb 92.91 Nb.upf
W 183.84 W.upf
CELL_PARAMETERS angstrom
5.096 -4.508 0.000
5.096 4.508 0.000
-0.928 0.000 5.483
ATOMIC_POSITIONS angstrom
Ti 1.046 0.000 2.150
Ti 5.096 2.353 0.000
Ti 4.632 2.272 2.742
Ti 4.632 -2.272 2.742
Ti 5.096 -2.353 0.000
Ti 8.218 0.000 3.333
Nb 2.166 1.749 4.097
Nb 3.899 0.000 1.284
Nb 2.166 -1.749 4.097
Nb 7.099 1.749 1.387
Nb 5.366 0.000 4.199
Nb 7.099 -1.749 1.387
W 0.490 0.000 4.968
W 8.774 0.000 0.516


Entry 10:
! TiP2CS, optimized geometry, DFT GGA-PBE; values from VASP
! Fermi-level density of states ... 4.68 states/eV/cell
! Energy above the lowest structure with this stoichiometry ... 854 meV per atom
! Space-group type ... P4/mmm (123)
! Energy relative to the elements, uncorrected ... 1.4709 eV per atom
&SYSTEM
  ibrav = 0, nat = 5, ntyp = 4
/
ATOMIC_SPECIES
Ti 47.87 Ti.upf
P 30.97 P.upf
C 12.01 C.upf
S 32.06 S.upf
CELL_PARAMETERS angstrom
4.727 0.000 0.000
0.000 4.727 0.000
0.000 0.000 4.562
ATOMIC_POSITIONS angstrom
Ti 0.000 0.000 0.000
P 0.000 2.364 0.000
P 2.364 0.000 0.000
C 2.364 2.364 2.281
S 0.000 0.000 2.281


Entry 11:
! Mg2AsPb2, optimized geometry, DFT GGA-PBE; values from VASP
! Fermi-level density of states ... 5.59 states/eV/cell
! Energy above the lowest structure with this stoichiometry ... 196 meV per atom
! Space-group type ... P4/mbm (127)
&SYSTEM
  ibrav = 0, nat = 10, ntyp = 3
/
ATOMIC_SPECIES
Mg 24.30 Mg.upf
As 74.92 As.upf
Pb 207.20 Pb.upf
CELL_PARAMETERS angstrom
8.679 0.000 0.000
0.000 8.679 0.000
0.000 0.000 3.432
ATOMIC_POSITIONS angstrom
Mg 1.098 3.241 0.000
Mg 3.241 7.581 0.000
Mg 5.437 1.098 0.000
Mg 7.581 5.437 0.000
As 0.000 0.000 1.716
As 4.339 4.339 1.716
Pb 1.523 5.862 1.716
Pb 2.817 1.523 1.716
Pb 5.862 7.156 1.716
Pb 7.156 2.817 1.716


Entry 12:
! Ce2MgS4, optimized geometry, DFT GGA-PBE; values from VASP
! Fermi-level density of states ... 23.94 states/eV/cell
! Energy above the lowest structure with this stoichiometry ... 13 meV per atom
! Space-group type ... I-42d (122)
! Energy relative to the elements, uncorrected ... -1.7545 eV per atom
&SYSTEM
  ibrav = 0, nat = 14, ntyp = 3
/
ATOMIC_SPECIES
Ce 140.12 Ce.upf
Mg 24.30 Mg.upf
S 32.06 S.upf
CELL_PARAMETERS angstrom
-4.131 4.131 4.412
4.131 -4.131 4.412
4.131 4.131 -4.412
ATOMIC_POSITIONS angstrom
Ce 6.196 1.049 -1.103
Ce 1.049 2.065 1.103
Ce -2.065 3.081 3.309
Ce 3.081 2.065 5.515
Mg 4.131 0.000 2.206
Mg 0.000 0.000 4.412
S 4.711 -2.503 2.703
S 1.627 -0.580 1.709
S 3.550 1.627 -0.497
S 6.634 0.580 1.709
S 2.503 -0.580 4.909
S 3.550 2.503 2.703
S 1.627 4.711 0.497
S 0.580 2.503 3.915